VASP calculation (PBE) on a relaxed Pm2YSb crystal. Values from VASP.

```
&SYSTEM
  ibrav = 0, nat = 4, ntyp = 3
/
ATOMIC_SPECIES
Pm 145.00 Pm.upf
Y 88.91 Y.upf
Sb 121.76 Sb.upf
CELL_PARAMETERS angstrom
4.240 0.000 0.000
0.000 4.240 0.000
0.000 0.000 6.780
ATOMIC_POSITIONS crystal
Pm 0.000 0.000 0.231
Pm 0.000 0.000 0.769
Y 0.500 0.500 0.500
Sb 0.500 0.500 0.000
```

Values from the calculation:
* ΔE to the lowest computed polymorph: 0.007 eV per atom
* formation energy (no corrections): -514 meV/atom


VASP calculation (PBE) on a relaxed Ba3Pr3ErS8 crystal. Values from VASP.

```
&SYSTEM
  ibrav = 0, nat = 15, ntyp = 4
/
ATOMIC_SPECIES
Ba 137.33 Ba.upf
Pr 140.91 Pr.upf
Er 167.26 Er.upf
S 32.06 S.upf
CELL_PARAMETERS angstrom
7.234 -4.178 0.000
7.234 4.178 0.000
-4.818 0.000 7.303
ATOMIC_POSITIONS crystal
Ba 0.000 0.000 0.000
Ba 0.000 0.500 0.000
Ba 0.500 0.000 0.000
Pr 0.000 0.500 0.500
Pr 0.500 0.000 0.500
Pr 0.500 0.500 0.500
Er 0.000 0.000 0.500
S 0.229 0.229 0.710
S 0.230 0.751 0.710
S 0.249 0.770 0.290
S 0.259 0.259 0.277
S 0.741 0.741 0.723
S 0.751 0.230 0.710
S 0.770 0.249 0.290
S 0.771 0.771 0.290
```

Values from the calculation:
* formation energy (no corrections): -2053 meV/atom


VASP calculation (PBE) on a relaxed PaIn2Rh crystal. Values from VASP.

```
&SYSTEM
  ibrav = 0, nat = 4, ntyp = 3
/
ATOMIC_SPECIES
Pa 231.04 Pa.upf
In 114.82 In.upf
Rh 102.91 Rh.upf
CELL_PARAMETERS angstrom
1.571 0.907 10.666
-1.571 0.907 10.666
0.000 -1.814 10.666
ATOMIC_POSITIONS crystal
Pa 0.000 0.000 0.000
In 0.101 0.101 0.101
In 0.899 0.899 0.899
Rh 0.500 0.500 0.500
```

Values from the calculation:
* ΔE to the lowest computed polymorph: 0.496 eV per atom


VASP calculation (PBE) on a relaxed La4SiH crystal. Values from VASP.

```
&SYSTEM
  ibrav = 0, nat = 12, ntyp = 3
/
ATOMIC_SPECIES
La 138.91 La.upf
Si 28.09 Si.upf
H 1.01 H.upf
CELL_PARAMETERS angstrom
6.094 0.000 0.000
0.000 9.828 0.000
-1.563 0.000 5.924
ATOMIC_POSITIONS crystal
La 0.146 0.250 0.233
La 0.258 0.750 0.360
La 0.281 0.044 0.772
La 0.281 0.456 0.772
La 0.719 0.544 0.228
La 0.719 0.956 0.228
La 0.742 0.250 0.640
La 0.854 0.750 0.767
Si 0.403 0.750 0.909
Si 0.597 0.250 0.091
H 0.116 0.250 0.605
H 0.884 0.750 0.395
```

Values from the calculation:
* energy: -5.07 eV/atom


VASP calculation (PBE) on a relaxed Pa2Co2Cu crystal. Values from VASP.

```
&SYSTEM
  ibrav = 0, nat = 5, ntyp = 3
/
ATOMIC_SPECIES
Pa 231.04 Pa.upf
Co 58.93 Co.upf
Cu 63.55 Cu.upf
CELL_PARAMETERS angstrom
-2.143 2.697 3.665
2.143 -2.697 3.665
2.143 2.697 -3.665
ATOMIC_POSITIONS crystal
Pa 0.195 0.195 0.000
Pa 0.805 0.805 0.000
Co 0.245 0.500 0.745
Co 0.755 0.500 0.255
Cu 0.500 0.000 0.500
```

Values from the calculation:
* ΔE to the lowest computed polymorph: 0.020 eV per atom


VASP calculation (PBE) on a relaxed KY2Pb crystal. Values from VASP.

```
&SYSTEM
  ibrav = 0, nat = 4, ntyp = 3
/
ATOMIC_SPECIES
K 39.10 K.upf
Y 88.91 Y.upf
Pb 207.20 Pb.upf
CELL_PARAMETERS angstrom
-2.618 2.618 4.579
2.618 -2.618 4.579
2.618 2.618 -4.579
ATOMIC_POSITIONS crystal
K 0.000 0.000 0.000
Y 0.250 0.750 0.500
Y 0.750 0.250 0.500
Pb 0.500 0.500 0.000
```

Values from the calculation:
* energy: -4.30 eV/atom


VASP calculation (PBE) on a relaxed La2Pm2SmDy crystal. Values from VASP.

```
&SYSTEM
  ibrav = 0, nat = 12, ntyp = 4
/
ATOMIC_SPECIES
La 138.91 La.upf
Pm 145.00 Pm.upf
Sm 150.36 Sm.upf
Dy 162.50 Dy.upf
CELL_PARAMETERS angstrom
7.133 0.000 0.000
0.000 5.788 0.000
0.000 0.000 10.034
ATOMIC_POSITIONS crystal
La 0.000 0.000 0.000
La 0.250 0.500 0.172
La 0.500 0.000 0.000
La 0.750 0.500 0.828
Pm 0.250 0.000 0.332
Pm 0.250 0.500 0.835
Pm 0.750 0.000 0.668
Pm 0.750 0.500 0.165
Sm 0.000 0.500 0.500
Sm 0.500 0.500 0.500
Dy 0.250 0.000 0.661
Dy 0.750 0.000 0.339
```

Values from the calculation:
* energy: -4.73 eV/atom


VASP calculation (PBE) on a relaxed Ce2Te3H crystal. Values from VASP.

```
&SYSTEM
  ibrav = 0, nat = 24, ntyp = 3
/
ATOMIC_SPECIES
Ce 140.12 Ce.upf
Te 127.60 Te.upf
H 1.01 H.upf
CELL_PARAMETERS angstrom
12.030 0.000 0.000
0.000 4.224 0.000
0.000 0.000 12.342
ATOMIC_POSITIONS crystal
Ce 0.044 0.250 0.181
Ce 0.205 0.250 0.517
Ce 0.295 0.750 0.017
Ce 0.456 0.750 0.681
Ce 0.544 0.250 0.319
Ce 0.705 0.250 0.983
Ce 0.795 0.750 0.483
Ce 0.956 0.750 0.819
Te 0.057 0.750 0.379
Te 0.117 0.250 0.937
Te 0.201 0.750 0.705
Te 0.299 0.250 0.205
Te 0.383 0.750 0.437
Te 0.443 0.250 0.879
Te 0.557 0.750 0.121
Te 0.617 0.250 0.563
Te 0.701 0.750 0.795
Te 0.799 0.250 0.295
Te 0.883 0.750 0.063
Te 0.943 0.250 0.621
H 0.129 0.750 0.127
H 0.371 0.250 0.627
H 0.629 0.750 0.373
H 0.871 0.250 0.873
```

Values from the calculation:
* ΔE to the lowest computed polymorph: 0.000 eV per atom


VASP calculation (PBE) on a relaxed TmTlSiS4 crystal. Values from VASP.

```
&SYSTEM
  ibrav = 0, nat = 14, ntyp = 4
/
ATOMIC_SPECIES
Tm 168.93 Tm.upf
Tl 204.38 Tl.upf
Si 28.09 Si.upf
S 32.06 S.upf
CELL_PARAMETERS angstrom
6.354 0.000 0.000
0.000 6.577 0.000
-2.607 0.000 8.358
ATOMIC_POSITIONS crystal
Tm 0.227 0.250 0.051
Tm 0.773 0.750 0.949
Tl 0.259 0.250 0.569
Tl 0.741 0.750 0.431
Si 0.227 0.750 0.832
Si 0.773 0.250 0.168
S 0.002 0.001 0.796
S 0.002 0.499 0.796
S 0.425 0.750 0.676
S 0.429 0.750 0.074
S 0.571 0.250 0.926
S 0.575 0.250 0.324
S 0.998 0.501 0.204
S 0.998 0.999 0.204
```

Values from the calculation:
* formation energy (no corrections): -1154 meV/atom


VASP calculation (PBE) on a relaxed VFe4Rh crystal. Values from VASP.

```
&SYSTEM
  ibrav = 0, nat = 6, ntyp = 3
/
ATOMIC_SPECIES
V 50.94 V.upf
Fe 55.84 Fe.upf
Rh 102.91 Rh.upf
CELL_PARAMETERS angstrom
0.000 3.309 3.309
3.309 0.000 3.309
3.309 3.309 0.000
ATOMIC_POSITIONS crystal
V 0.000 0.000 0.000
Fe 0.375 0.375 0.375
Fe 0.375 0.375 0.875
Fe 0.375 0.875 0.375
Fe 0.875 0.375 0.375
Rh 0.750 0.750 0.750
```

Values from the calculation:
* ΔE to the lowest computed polymorph: 0.036 eV per atom


VASP calculation (PBE) on a relaxed Sm4ZnPt crystal. Values from VASP.

```
&SYSTEM
  ibrav = 0, nat = 12, ntyp = 3
/
ATOMIC_SPECIES
Sm 150.36 Sm.upf
Zn 65.41 Zn.upf
Pt 195.08 Pt.upf
CELL_PARAMETERS angstrom
7.240 0.000 0.000
0.000 7.095 0.000
-0.249 0.000 7.112
ATOMIC_POSITIONS crystal
Sm 0.150 0.155 0.164
Sm 0.150 0.345 0.664
Sm 0.334 0.652 0.145
Sm 0.334 0.848 0.645
Sm 0.666 0.152 0.355
Sm 0.666 0.348 0.855
Sm 0.850 0.655 0.336
Sm 0.850 0.845 0.836
Zn 0.500 0.000 0.000
Zn 0.500 0.500 0.500
Pt 0.000 0.000 0.500
Pt 0.000 0.500 0.000
```

Values from the calculation:
* ΔE to the lowest computed polymorph: 0.160 eV per atom


VASP calculation (PBE) on a relaxed P3PdCl crystal. Values from VASP.

```
&SYSTEM
  ibrav = 0, nat = 5, ntyp = 3
/
ATOMIC_SPECIES
P 30.97 P.upf
Pd 106.42 Pd.upf
Cl 35.45 Cl.upf
CELL_PARAMETERS angstrom
4.517 0.000 0.000
0.000 4.517 0.000
0.000 0.000 4.517
ATOMIC_POSITIONS crystal
P 0.000 0.000 0.500
P 0.000 0.500 0.000
P 0.500 0.000 0.000
Pd 0.500 0.500 0.500
Cl 0.000 0.000 0.000
```

Values from the calculation:
* ΔE to the lowest computed polymorph: 0.474 eV per atom
* formation energy (no corrections): 1402 meV/atom